No. 1
VASP calculation (PBE-GGA) on a relaxed structure of LiSi2Ir.

Cell: 2.8460 2.8460 7.4403 Å, 90.00 90.00 90.00°
Space group P4/mmm (No. 123)
Inequivalent atoms, fractional coordinates:
Li1 0.0000 0.0000 0.0000 x1
Si1 0.5000 0.5000 0.2807 x2
Ir1 0.0000 0.0000 0.5000 x1

Computed properties:
- ΔE to the lowest computed polymorph (eV per formula unit) = 1.10
- calculated volume (Å³/atom) = 15.07
- DOS at the Fermi energy (states/eV/cell) = 2.72
- E_form (uncorrected) (eV per formula unit) = -0.84
- raw total energy (eV/cell) = -22.463

No. 2
VASP calculation (PBE-GGA) on a relaxed structure of Li2SiIr.

Cell: 2.5810 2.5810 8.3367 Å, 90.00 90.00 90.00°
Space group P4/mmm (No. 123)
Inequivalent atoms, fractional coordinates:
Li1 0.0000 0.0000 0.2478 x2
Si1 0.5000 0.5000 0.5000 x1
Ir1 0.5000 0.5000 0.0000 x1

Computed properties:
- calculated volume (Å³/atom) = 13.88
- DOS at the Fermi energy (states/eV/cell) = 3.81
- E_form (uncorrected) (eV per formula unit) = -0.33
- raw total energy (eV/cell) = -18.444

No. 3
VASP calculation (PBE-GGA) on a relaxed structure of Li2SiIr.

Cell: 2.8629 4.4123 8.7652 Å, 90.00 90.00 90.00°
Space group Cmmm (No. 65)
Inequivalent atoms, fractional coordinates:
Li1 0.0000 0.0000 0.2463 x4
Si1 0.0000 0.5000 0.5000 x2
Ir1 0.0000 0.5000 0.0000 x2

Computed properties:
- calculated volume (Å³/atom) = 13.84
- DOS at the Fermi energy (states/eV/cell) = 5.66
- E_form (uncorrected) (eV per formula unit) = -0.33
- raw total energy (eV/cell) = -36.892

No. 4
VASP calculation (PBE-GGA) on a relaxed structure of Li2SiIr.

Cell: 4.7333 8.3381 2.7959 Å, 90.00 90.00 90.00°
Space group Cmmm (No. 65)
Inequivalent atoms, fractional coordinates:
Li1 0.2500 0.2500 0.0000 x4
Si1 0.0000 0.0000 0.5000 x2
Ir1 0.0000 0.5000 0.5000 x2

Computed properties:
- calculated volume (Å³/atom) = 13.79
- DOS at the Fermi energy (states/eV/cell) = 4.50
- E_form (uncorrected) (eV per formula unit) = -0.99
- raw total energy (eV/cell) = -38.201